Tb7Pr2Sm3: relaxed, PBE.

Output
**DOS(E_F)**: 17.81 states/eV/f.u.
**DFT formation energy**: 78.6 meV/atom

Geometry as POSCAR:
```
Tb7Pr2Sm3
1.0
6.4022 0.0000 0.0000
0.0000 3.5550 0.0000
-1.9150 0.0000 17.5834
Tb Pr Sm
7 2 3
Cartesian
0.0000 0.0000 0.0000
1.1373 1.7775 2.9076
0.6805 1.7775 8.7845
0.1490 0.0000 14.7122
4.3382 0.0000 2.8712
3.8067 1.7775 8.7989
3.3498 1.7775 14.6758
-0.9274 1.7775 11.8301
5.4146 1.7775 5.7533
2.2488 0.0000 5.9915
3.2011 1.7775 0.0000
2.2383 0.0000 11.5919
```